No. 1
Crystalline AcTaNO2 at its relaxed geometry, computed with PBE.

theoretical density	10.8	g cm⁻³
formation energy from raw total energies	-2.382	eV per atom
space-group type	I4/mcm (140)
spin magnetization	0.00	μB/atom

Cell: 5.8514 5.8514 5.8514 Å, 121.18 121.18 87.97°
Atoms (fractional coordinates):
Ac (0.2500, 0.7500, 0.5000)
Ac (0.7500, 0.2500, 0.5000)
Ta (0.0000, 0.0000, 0.0000)
Ta (0.5000, 0.5000, 0.0000)
N (0.2500, 0.2500, 0.0000)
N (0.7500, 0.7500, 0.0000)
O (0.2086, 0.7086, 0.9173)
O (0.2914, 0.2086, 0.5000)
O (0.7086, 0.7914, 0.5000)
O (0.7914, 0.2914, 0.0827)

=====

No. 2
Crystalline W2AuSe at its relaxed geometry, computed with PBE.

theoretical density	15.4	g cm⁻³
formation energy from raw total energies	0.934	eV per atom
space-group type	P4/mmm (123)
spin magnetization	0.00	μB/atom

Cell: 3.9041 3.9041 4.5409 Å, 90.00 90.00 90.00°
Atoms (fractional coordinates):
W (0.0000, 0.5000, 0.0000)
W (0.5000, 0.0000, 0.0000)
Au (0.0000, 0.0000, 0.5000)
Se (0.5000, 0.5000, 0.5000)

=====

No. 3
Crystalline CdFeIr2 at its relaxed geometry, computed with PBE.

theoretical density	14.8	g cm⁻³
space-group type	Cmm2 (35)
formation energy	0.323	eV per atom
spin magnetization	0.71	μB/atom

Cell: 2.7541 2.7541 9.3639 Å, 90.00 90.00 119.32°
Atoms (fractional coordinates):
Cd (0.0000, 0.0000, 0.0000)
Fe (0.5000, 0.5000, 0.7405)
Ir (0.0000, 0.0000, 0.5134)
Ir (0.5000, 0.5000, 0.2659)

=====

No. 4
Crystalline Tm3Tl2Cu2 at its relaxed geometry, computed with PBE.

theoretical density	10.8	g cm⁻³
space-group type	Cmmm (65)
formation energy	-0.310	eV per atom
spin magnetization	0.00	μB/atom

Cell: 10.7974 10.7974 3.6082 Å, 90.00 90.00 157.70°
Atoms (fractional coordinates):
Tm (0.0000, 0.0000, 0.0000)
Tm (0.1743, 0.8257, 0.0000)
Tm (0.8257, 0.1743, 0.0000)
Tl (0.4156, 0.5844, 0.5000)
Tl (0.5844, 0.4156, 0.5000)
Cu (0.2809, 0.7191, 0.5000)
Cu (0.7191, 0.2809, 0.5000)

=====

No. 5
Crystalline AcTm2In2Ag2 at its relaxed geometry, computed with PBE.

theoretical density	8.8	g cm⁻³
space-group type	R-3m (166)
formation energy	-0.312	eV per atom
spin magnetization	0.00	μB/atom

Cell: 9.5054 9.5054 9.5054 Å, 29.99 29.99 29.99°
Atoms (fractional coordinates):
Ac (0.0000, 0.0000, 0.0000)
Tm (0.1340, 0.1340, 0.1340)
Tm (0.8660, 0.8660, 0.8660)
In (0.2539, 0.2539, 0.2539)
In (0.7461, 0.7461, 0.7461)
Ag (0.4357, 0.4357, 0.4357)
Ag (0.5643, 0.5643, 0.5643)

=====

No. 6
Crystalline MgNi4Sb at its relaxed geometry, computed with PBE.

theoretical density	7.7	g cm⁻³
formation energy from raw total energies	-0.127	eV per atom
space-group type	F-43m (216)
spin magnetization	0.00	μB/atom

Cell: 4.8738 4.8738 4.8738 Å, 60.00 60.00 60.00°
Atoms (fractional coordinates):
Mg (0.0000, 0.0000, 0.0000)
Ni (0.1243, 0.6252, 0.6252)
Ni (0.6252, 0.1243, 0.6252)
Ni (0.6252, 0.6252, 0.1243)
Ni (0.6252, 0.6252, 0.6252)
Sb (0.2500, 0.2500, 0.2500)

=====

No. 7
Crystalline Ti4MnTe8 at its relaxed geometry, computed with PBE.

theoretical density	6.0	g cm⁻³
formation energy from raw total energies	-0.588	eV per atom
space-group type	R-3m (166)
spin magnetization	0.43	μB/atom

Cell: 8.2943 8.2943 8.2943 Å, 54.57 54.57 54.57°
Atoms (fractional coordinates):
Ti (0.0000, 0.0000, 0.0000)
Ti (0.0000, 0.5000, 0.5000)
Ti (0.5000, 0.0000, 0.5000)
Ti (0.5000, 0.5000, 0.0000)
Mn (0.5000, 0.5000, 0.5000)
Te (0.2483, 0.2483, 0.7498)
Te (0.2483, 0.7498, 0.2483)
Te (0.2502, 0.7517, 0.7517)
Te (0.2522, 0.2522, 0.2522)
Te (0.7478, 0.7478, 0.7478)
Te (0.7498, 0.2483, 0.2483)
Te (0.7517, 0.2502, 0.7517)
Te (0.7517, 0.7517, 0.2502)

=====

No. 8
Crystalline CaCr2Cl at its relaxed geometry, computed with PBE.

theoretical density	3.2	g cm⁻³
formation energy from raw total energies	0.541	eV per atom
space-group type	I-4m2 (119)
spin magnetization	2.34	μB/atom

Cell: 5.5353 5.5353 5.5353 Å, 131.06 131.06 71.72°
Atoms (fractional coordinates):
Ca (0.0000, 0.0000, 0.0000)
Cr (0.5000, 0.5000, 0.0000)
Cr (0.7500, 0.2500, 0.5000)
Cl (0.2500, 0.7500, 0.5000)

=====

No. 9
Crystalline Ho7Cd2Te2 at its relaxed geometry, computed with PBE.

theoretical density	8.1	g cm⁻³
formation energy from raw total energies	-0.290	eV per atom
space-group type	Cmmm (65)
spin magnetization	0.00	μB/atom

Cell: 6.7759 6.7759 7.5866 Å, 90.00 90.00 106.27°
Atoms (fractional coordinates):
Ho (0.0000, 0.0000, 0.0000)
Ho (0.0000, 0.5000, 0.2819)
Ho (0.0000, 0.5000, 0.7181)
Ho (0.5000, 0.0000, 0.2819)
Ho (0.5000, 0.0000, 0.7181)
Ho (0.5000, 0.5000, 0.2700)
Ho (0.5000, 0.5000, 0.7300)
Cd (0.1733, 0.1733, 0.5000)
Cd (0.8267, 0.8267, 0.5000)
Te (0.2825, 0.7175, 0.0000)
Te (0.7175, 0.2825, 0.0000)

=====

No. 10
Crystalline NbSnO at its relaxed geometry, computed with PBE.

theoretical density	5.6	g cm⁻³
formation energy from raw total energies	-0.853	eV per atom
space-group type	C2/m (12)
spin magnetization	0.00	μB/atom

Cell: 6.5552 6.5552 7.1615 Å, 90.14 90.14 26.22°
Atoms (fractional coordinates):
Nb (0.9996, 0.9996, 0.2049)
Nb (0.0004, 0.0004, 0.7951)
Sn (0.3683, 0.3683, 0.5000)
Sn (0.6317, 0.6317, 0.5000)
O (0.1004, 0.1004, 0.0009)
O (0.8996, 0.8996, 0.9991)

=====

No. 11
Crystalline BaAgSn at its relaxed geometry, computed with PBE.

theoretical density	6.5	g cm⁻³
space-group type	Imm2 (44)
formation energy	-0.512	eV per atom
spin magnetization	0.00	μB/atom

Cell: 6.5316 6.5316 6.5316 Å, 133.84 101.70 96.00°
Atoms (fractional coordinates):
Ba (0.0000, 0.0000, 0.0000)
Ba (0.5765, 0.0765, 0.5000)
Ag (0.1607, 0.3742, 0.7865)
Ag (0.5876, 0.3742, 0.2135)
Sn (0.0168, 0.7072, 0.3095)
Sn (0.3977, 0.7072, 0.6905)